[1]
An optimized crystal structure of Be9V2Cu. Source: Alexandria via LeMat-Bulk, functional GGA-PBE.

Structure (POSCAR):
```
Be9V2Cu
1.0
2.159 1.246 6.979
-2.159 1.246 6.979
0.000 -2.493 6.979
Be V Cu
9 2 1
Cartesian
0.000 0.000 0.000
0.000 -1.231 5.265
-1.066 0.615 5.265
0.000 0.000 3.463
-1.066 -0.615 15.673
1.066 0.615 5.264
0.000 0.000 17.474
1.066 -0.615 15.673
0.000 1.231 15.673
0.000 0.000 7.360
0.000 0.000 13.578
0.000 0.000 10.469
```

Output
- Crystal system: trigonal
- ΔH_f (0 K): -0.0609 eV/atom
- E: -4.717 eV per atom

=====

[2]
An optimized crystal structure of Cs3BO3. Source: Alexandria via LeMat-Bulk, functional GGA-PBE.

Structure (POSCAR):
```
Cs3BO3
1.0
11.177 0.000 0.000
0.000 11.228 0.000
0.000 0.000 10.628
Cs B O
24 8 24
Cartesian
0.000 0.000 1.955
0.000 0.000 8.672
0.000 5.614 3.363
0.000 5.614 7.264
0.269 1.873 5.314
1.863 5.394 0.000
2.748 8.496 2.661
2.748 8.496 7.967
2.840 2.882 2.661
2.840 2.882 7.967
3.725 11.008 0.000
5.319 7.487 5.314
5.588 0.000 3.363
5.588 0.000 7.264
5.588 5.614 1.955
5.588 5.614 8.672
5.857 3.741 5.314
7.451 0.220 0.000
8.337 8.347 2.661
8.337 8.347 7.967
8.428 2.732 2.661
8.428 2.732 7.967
9.314 5.834 0.000
10.908 9.355 5.314
0.404 8.353 0.000
2.726 10.826 5.314
2.862 5.212 5.314
5.184 2.739 0.000
5.993 8.490 0.000
8.314 6.017 5.314
8.451 0.402 5.314
10.772 2.875 0.000
0.043 3.414 1.226
0.043 3.414 9.401
1.337 9.402 0.000
1.832 4.260 5.314
2.200 0.054 4.086
2.200 0.054 6.542
3.389 5.668 4.086
3.389 5.668 6.542
3.756 9.874 5.314
4.252 3.788 0.000
5.546 9.028 1.226
5.546 9.028 9.401
5.631 2.201 1.226
5.631 2.201 9.401
6.925 7.440 0.000
7.421 1.354 5.314
7.788 5.560 4.086
7.788 5.560 6.542
8.977 11.174 4.086
8.977 11.174 6.542
9.344 6.969 5.314
9.840 1.826 0.000
11.134 7.815 1.226
11.134 7.815 9.401
```

Output
- Crystal system: orthorhombic
- E: -5.299 eV per atom
- ΔE to the lowest computed polymorph: 0 meV/atom

=====

[3]
An optimized crystal structure of SnBiN2. Source: Alexandria via LeMat-Bulk, functional GGA-PBE.

Structure (POSCAR):
```
SnBiN2
1.0
3.374 0.000 0.000
-1.687 2.922 0.000
0.000 0.000 20.468
Sn Bi N
3 3 6
Cartesian
0.000 0.000 0.000
0.000 1.948 13.646
1.687 0.974 6.823
0.000 0.000 10.234
0.000 1.948 3.411
1.687 0.974 17.057
0.000 0.000 7.909
0.000 0.000 12.559
0.000 1.948 1.086
0.000 1.948 5.736
1.687 0.974 14.732
1.687 0.974 19.382
```

Output
- Crystal system: trigonal
- E: -5.635 eV per atom
- ΔE to the lowest computed polymorph: 0 meV/atom

=====

[4]
An optimized crystal structure of LuPaPb. Source: Alexandria via LeMat-Bulk, functional GGA-PBE.

Structure (POSCAR):
```
LuPaPb
1.0
5.377 0.000 0.000
-2.688 4.657 0.000
0.000 0.000 3.344
Lu Pa Pb
1 1 1
Cartesian
0.000 0.000 0.000
2.688 1.552 1.766
0.000 3.104 0.593
```

Output
- Crystal system: trigonal
- ΔH_f (0 K): 0.1765 eV/atom
- E: -5.732 eV per atom
- ΔE to the lowest computed polymorph: 27 meV/atom